# Si2MoIr, optimized geometry, DFT PBE
data_Si2MoIr
_cell_length_a 8.043
_cell_length_b 2.770
_cell_length_c 5.174
_cell_angle_alpha 90.00
_cell_angle_beta 101.88
_cell_angle_gamma 90.00
_space_group_name_H-M_alt 'C 1 2/m 1'
_space_group_IT_number 12
loop_
_space_group_symop_operation_xyz
'x,y,z'
'-x,-y,-z'
'-x,y,-z'
'x,-y,z'
'x+1/2,y+1/2,z'
'-x+1/2,-y+1/2,-z'
'-x+1/2,y+1/2,-z'
'x+1/2,-y+1/2,z'
loop_
_atom_site_label
_atom_site_fract_x
_atom_site_fract_y
_atom_site_fract_z
_atom_site_occupancy
Si1 0.246 0.000 0.238 1
Mo1 0.000 0.000 0.500 1
Ir1 0.000 0.500 0.000 1
# Total magnetic moment (μB per formula unit): 0.00
# DOS(E_F) (states/eV per cell): 4.07
# Raw total energy (eV per atom): -7.91
# Calculated volume (A^3/atom): 14.10

# AlPPt2, optimized geometry, DFT PBE
data_AlPPt2
_cell_length_a 4.137
_cell_length_b 4.137
_cell_length_c 6.940
_cell_angle_alpha 90.00
_cell_angle_beta 90.00
_cell_angle_gamma 90.00
_space_group_name_H-M_alt 'I 4/m m m'
_space_group_IT_number 139
_space_group_name_Hall '-I 4 2'
loop_
_atom_site_label
_atom_site_fract_x
_atom_site_fract_y
_atom_site_fract_z
_atom_site_occupancy
Al1 0.000 0.000 0.000 1
P1 0.000 0.000 0.500 1
Pt1 0.000 0.500 0.250 1
# Total magnetic moment (μB per formula unit): 0.00
# DOS(E_F) (states/eV per cell): 2.42
# Raw total energy (eV per atom): -5.64
# Calculated volume (A^3/atom): 14.85
# Distance to the lowest polymorph of the same formula (eV per formula unit): 1.05
# Calculated formation energy (eV/atom): -0.3281

# Ag5Br4Cl, optimized geometry, DFT PBE
data_Ag5Br4Cl
_cell_length_a 4.097
_cell_length_b 4.097
_cell_length_c 28.912
_cell_angle_alpha 90.00
_cell_angle_beta 90.00
_cell_angle_gamma 90.00
_space_group_name_H-M_alt 'I 4/m m m'
_space_group_IT_number 139
_space_group_name_Hall '-I 4 2'
loop_
_atom_site_label
_atom_site_fract_x
_atom_site_fract_y
_atom_site_fract_z
_atom_site_occupancy
Ag1 0.000 0.000 0.000 1
Ag2 0.000 0.000 0.200 1
Ag3 0.000 0.000 0.404 1
Br1 0.000 0.000 0.098 1
Br2 0.000 0.000 0.301 1
Cl1 0.000 0.000 0.500 1
# Total magnetic moment (μB per formula unit): 0.00
# Raw total energy (eV per atom): -2.60
# Calculated volume (A^3/atom): 24.27
# Distance to the lowest polymorph of the same formula (eV per formula unit): 0.00

# Li3Al4Zn4, optimized geometry, DFT PBE
data_Li3Al4Zn4
_cell_length_a 4.070
_cell_length_b 7.401
_cell_length_c 13.106
_cell_angle_alpha 90.00
_cell_angle_beta 90.00
_cell_angle_gamma 90.00
_space_group_name_H-M_alt 'I m m m'
_space_group_IT_number 71
_space_group_name_Hall '-I 2 2'
loop_
_atom_site_label
_atom_site_fract_x
_atom_site_fract_y
_atom_site_fract_z
_atom_site_occupancy
Li1 0.000 0.000 0.000 1
Li2 0.000 0.500 0.121 1
Al1 0.000 0.310 0.324 1
Zn1 0.000 0.000 0.229 1
Zn2 0.000 0.171 0.500 1
# Total magnetic moment (μB per formula unit): 0.00
# DOS(E_F) (states/eV per cell): 6.96
# Raw total energy (eV per atom): -2.40
# Calculated volume (A^3/atom): 17.95
# Distance to the lowest polymorph of the same formula (eV per formula unit): 0.57
# Calculated formation energy (eV/atom): -0.0503